DFT (PBE) results for a relaxed MgAg3 crystal.

Summary:
As for the relative energy among the computed polymorphs: 75 meV/atom. Its space group is P4/mmm.

Unit cell a=3.0400 b=3.0400 c=7.8603 alpha=90.00 beta=90.00 gamma=90.01
Fractional coordinates of all 4 atoms:
Mg  0.5000  0.5000  0.2500
Ag  0.0000  0.0000  0.0033
Ag  0.0000  0.0000  0.4967
Ag  0.5000  0.5000  0.7500

***

DFT (PBE) results for a relaxed Rb2FePd2 crystal.

Summary:
As for the relative energy among the computed polymorphs: 711 meV/atom. Its space group is I4/mmm.

Unit cell a=4.3903 b=4.3903 c=7.8487 alpha=73.76 beta=73.76 gamma=90.00
Fractional coordinates of all 5 atoms:
Rb  0.7500  0.2500  0.5000
Rb  0.2500  0.7500  0.5000
Pd  0.4120  0.4120  0.1759
Pd  0.5880  0.5880  0.8241
Fe  0.0000  0.0000  0.0000

***

DFT (PBE) results for a relaxed SmPuCdIr crystal.

Summary:
For the total DFT energy (no corrections), the calculation gives -7.4750 eV/atom. Its space group is F-43m.

Unit cell a=5.1008 b=5.1008 c=5.1008 alpha=60.00 beta=60.00 gamma=60.00
Fractional coordinates of all 4 atoms:
Cd  0.7500  0.7500  0.7500
Ir  0.2500  0.2500  0.2500
Sm  0.0000  0.0000  0.0000
Pu  0.5000  0.5000  0.5000